This record from Alexandria via LeMat-Bulk describes Li8NiO4F2 after structural relaxation. The functional is PBE+U.

abc: 5.316 5.469 5.875
angles: 90.82 114.69 113.54
Atoms (fractional coordinates):
O  0.847  0.092  0.234
O  0.200  0.793  0.252
O  0.153  0.908  0.766
O  0.800  0.207  0.748
Li  0.376  0.747  0.030
Li  0.798  0.545  0.685
Li  0.417  0.876  0.630
Li  0.918  0.796  0.367
Li  0.082  0.204  0.633
Li  0.202  0.455  0.315
Li  0.583  0.124  0.370
Li  0.624  0.253  0.970
Ni  0.000  0.000  0.000
F  0.443  0.539  0.719
F  0.557  0.461  0.281

Output
The calculation puts the magnetization at 0.13 μB/atom. Its space group is P-1, No. 2. As for the energy relative to the lowest polymorph listed for this composition: 9 meV/atom.